# 1
VASP calculation (GGA-PBEsol) on a relaxed BaTiN2F crystal.

Values from the calculation:
The total DFT energy (no corrections) comes out at -5.035 eV/atom. As for the formation energy (no corrections): 0.856 eV per atom.

Unit cell a=4.604 b=4.604 c=4.637 alpha=90.00 beta=90.00 gamma=90.00
Last column: magnetic moment on the atom in μB.
Sites, in units of the cell vectors:
Ba  0.000  0.000  0.000  -0.04
N  0.000  0.500  0.000  -0.40
N  0.500  0.000  0.000  -0.40
F  0.000  0.000  0.500  0.00
Ti  0.500  0.500  0.500  1.70

# 2
VASP calculation (GGA-PBEsol) on a relaxed ScFeNi6 crystal.

Values from the calculation:
The total DFT energy (no corrections) comes out at -6.786 eV/atom. As for the formation energy: -0.22 eV per atom.

Unit cell a=6.174 b=6.174 c=10.121 alpha=90.00 beta=90.00 gamma=109.63
Last column: magnetic moment on the atom in μB.
Sites, in units of the cell vectors:
Sc  0.754  0.246  0.500  -0.08
Sc  0.000  0.000  0.751  -0.11
Sc  0.246  0.754  0.500  -0.08
Sc  0.000  0.000  0.249  -0.11
Ni  0.500  0.500  0.500  0.33
Ni  0.863  0.618  0.631  0.28
Ni  0.000  0.000  0.500  0.11
Ni  0.745  0.255  0.241  0.44
Ni  0.137  0.382  0.631  0.28
Ni  0.745  0.255  0.759  0.44
Ni  0.137  0.382  0.369  0.28
Ni  0.870  0.614  0.880  0.54
Ni  0.255  0.745  0.241  0.44
Ni  0.382  0.137  0.631  0.28
Ni  0.618  0.863  0.631  0.28
Ni  0.000  0.000  0.000  0.43
Ni  0.614  0.870  0.120  0.54
Ni  0.618  0.863  0.369  0.28
Ni  0.386  0.130  0.120  0.54
Ni  0.614  0.870  0.880  0.54
Ni  0.130  0.386  0.880  0.54
Ni  0.382  0.137  0.369  0.28
Ni  0.130  0.386  0.120  0.54
Ni  0.500  0.500  0.000  0.62
Ni  0.870  0.614  0.120  0.54
Ni  0.386  0.130  0.880  0.54
Ni  0.255  0.745  0.759  0.44
Ni  0.863  0.618  0.369  0.28
Fe  0.500  0.500  0.752  2.87
Fe  0.244  0.756  0.000  2.87
Fe  0.756  0.244  0.000  2.87
Fe  0.500  0.500  0.248  2.87

# 3
VASP calculation (GGA-PBEsol) on a relaxed TaCoSe2 crystal.

Values from the calculation:
The total DFT energy (no corrections) comes out at -6.914 eV/atom. As for the formation energy (no corrections): 0.083 eV per atom.

Unit cell a=3.139 b=3.139 c=8.212 alpha=78.98 beta=78.98 gamma=60.00
Sites, in units of the cell vectors:
Se  0.106  0.106  0.681
Se  0.894  0.894  0.319
Ta  0.000  0.000  0.000
Co  0.500  0.500  0.500

# 4
VASP calculation (GGA-PBEsol) on a relaxed AlH3O3 crystal.

Values from the calculation:
The offset from the most stable computed form comes out at 2 meV per atom. The total DFT energy (no corrections) comes out at -6.030 eV/atom.

Unit cell a=5.001 b=8.638 c=9.102 alpha=90.00 beta=90.00 gamma=90.00
Sites, in units of the cell vectors:
O  0.639  0.980  0.886
O  0.137  0.831  0.910
O  0.733  0.803  0.635
O  0.233  0.697  0.635
O  0.639  0.480  0.614
O  0.137  0.331  0.590
O  0.861  0.480  0.114
O  0.361  0.520  0.386
O  0.363  0.831  0.410
O  0.139  0.020  0.614
O  0.637  0.169  0.590
O  0.139  0.520  0.886
O  0.267  0.697  0.135
O  0.267  0.197  0.365
O  0.363  0.331  0.090
O  0.863  0.169  0.090
O  0.733  0.303  0.865
O  0.233  0.197  0.865
O  0.637  0.669  0.910
O  0.361  0.020  0.114
O  0.767  0.803  0.135
O  0.863  0.669  0.410
O  0.861  0.980  0.386
O  0.767  0.303  0.365
H  0.333  0.045  0.607
H  0.330  0.306  0.196
H  0.330  0.806  0.304
H  0.830  0.694  0.304
H  0.333  0.545  0.893
H  0.167  0.545  0.393
H  0.833  0.955  0.893
H  0.830  0.194  0.196
H  0.670  0.194  0.696
H  0.838  0.388  0.303
H  0.667  0.955  0.393
H  0.833  0.455  0.607
H  0.662  0.888  0.697
H  0.170  0.306  0.696
H  0.338  0.112  0.303
H  0.670  0.694  0.804
H  0.167  0.045  0.107
H  0.162  0.112  0.803
H  0.667  0.455  0.107
H  0.162  0.612  0.697
H  0.170  0.806  0.804
H  0.338  0.612  0.197
H  0.838  0.888  0.197
H  0.662  0.388  0.803
Al  0.965  0.165  0.484
Al  0.965  0.665  0.016
Al  0.035  0.835  0.516
Al  0.035  0.335  0.984
Al  0.535  0.665  0.516
Al  0.465  0.335  0.484
Al  0.535  0.165  0.984
Al  0.465  0.835  0.016